No. 1
Compound: TmTh2Ni
Source: Alexandria via LeMat-Bulk
Functional: PBE
Structure: relaxed

## Properties
- Energy relative to the lowest polymorph listed for this composition: 0.0 meV/atom
- E_tot: -6.500 eV per atom
- SG: No. 11
- Total moment: 0.00 μB per cell

Cell: 3.6304 6.1127 9.9429 Å, 90.00 90.00 107.27°
Sites, in units of the cell vectors:
Th: 0.6346 0.2702 0.4415
Th: 0.6346 0.2702 0.0585
Th: 0.3654 0.7298 0.5585
Tm: 0.9098 0.8183 0.2500
Th: 0.3654 0.7298 0.9415
Tm: 0.0902 0.1817 0.7500
Ni: 0.7798 0.5596 0.7500
Ni: 0.2202 0.4404 0.2500


No. 2
Compound: La2AlSb
Source: Alexandria via LeMat-Bulk
Functional: PBE
Structure: relaxed

## Properties
- E_form (uncorrected): -421 meV per atom
- Energy relative to the lowest polymorph listed for this composition: 337.2 meV/atom
- E_tot: -4.851 eV per atom
- SG: No. 122
- Total moment: 1.40 μB per cell

Cell: 8.6176 8.6176 6.9732 Å, 51.84 51.84 90.00°
Sites, in units of the cell vectors:
La: 0.3750 0.3743 0.7500
Al: 0.2500 0.7500 0.5000
La: 0.8750 0.8757 0.7500
La: 0.6257 0.1250 0.2500
La: 0.1243 0.6250 0.2500
Al: 0.5000 0.5000 0.0000
Sb: 0.0000 0.0000 0.0000
Sb: 0.7500 0.2500 0.5000


No. 3
Compound: La2Tb4Pr5
Source: Alexandria via LeMat-Bulk
Functional: PBE
Structure: relaxed

## Properties
- Energy relative to the lowest polymorph listed for this composition: 99.8 meV/atom
- E_tot: -4.588 eV per atom
- SG: No. 71
- Total moment: 0.00 μB per cell

Cell: 3.5738 9.3421 12.9417 Å, 111.16 97.94 90.00°
Sites, in units of the cell vectors:
Pr: 0.1423 0.3380 0.2846
Tb: 0.4030 0.4030 0.8059
Pr: 0.5000 0.0000 0.0000
Tb: 0.0000 0.6861 0.0000
Pr: 0.8577 0.6620 0.7154
La: 0.7327 0.7327 0.4655
Tb: 0.0000 0.3139 0.0000
Pr: 0.8577 0.0535 0.7154
Tb: 0.5970 0.5970 0.1941
Pr: 0.1423 0.9465 0.2846
La: 0.2673 0.2673 0.5345


No. 4
Compound: TbCd2Ag2
Source: Alexandria via LeMat-Bulk
Functional: PBE
Structure: relaxed

## Properties
- Energy relative to the lowest polymorph listed for this composition: 0.0 meV/atom
- E_tot: -2.655 eV per atom
- SG: No. 2
- Total moment: 0.00 μB per cell

Cell: 5.7649 5.0054 4.9976 Å, 59.39 88.49 114.37°
Sites, in units of the cell vectors:
Cd: 0.3552 0.5716 0.2069
Ag: 0.7731 0.1812 0.4184
Cd: 0.6448 0.4284 0.7931
Ag: 0.2269 0.8188 0.5816
Tb: 0.0000 0.0000 0.0000


No. 5
Compound: LaErIn4
Source: Alexandria via LeMat-Bulk
Functional: PBE
Structure: relaxed

## Properties
- Energy relative to the lowest polymorph listed for this composition: 60.1 meV/atom
- E_tot: -3.775 eV per atom
- SG: No. 216
- Total moment: 0.00 μB per cell

Cell: 6.0762 6.0762 6.0762 Å, 60.00 60.00 60.00°
Sites, in units of the cell vectors:
In: 0.6249 0.1252 0.6249
In: 0.6249 0.6249 0.1252
In: 0.1252 0.6249 0.6249
La: 0.0000 0.0000 0.0000
Er: 0.2500 0.2500 0.2500
In: 0.6249 0.6249 0.6249


No. 6
Compound: NaSr3Ir
Source: Alexandria via LeMat-Bulk
Functional: PBE
Structure: relaxed

## Properties
- Energy relative to the lowest polymorph listed for this composition: 11.8 meV/atom
- E_tot: -3.156 eV per atom
- SG: No. 1
- Total moment: 0.00 μB per cell

Cell: 6.0181 11.2832 6.0121 Å, 95.77 86.41 82.05°
Sites, in units of the cell vectors:
Ir: 0.0037 0.8975 0.9711
Na: 0.1551 0.3819 0.3732
Sr: 0.0302 0.8461 0.4677
Ir: 0.7532 0.0718 0.8136
Sr: 0.5276 0.8415 0.9578
Sr: 0.0908 0.6185 0.9235
Na: 0.5990 0.5871 0.4108
Sr: 0.7264 0.1232 0.3171
Sr: 0.6657 0.3508 0.8613
Sr: 0.2293 0.1278 0.8269


No. 7
Compound: CaMgIn2
Source: Alexandria via LeMat-Bulk
Functional: PBE
Structure: relaxed

## Properties
- E_tot: -2.491 eV per atom
- SG: No. 8
- Total moment: 0.00 μB per cell

Cell: 6.0066 6.0066 5.4532 Å, 73.59 73.59 35.02°
Sites, in units of the cell vectors:
Mg: 0.4871 0.4871 0.5493
In: 0.7382 0.7382 0.7177
Ca: 0.2607 0.2607 0.2119
In: 0.0139 0.0139 0.0211


No. 8
Compound: LiSiSe2
Source: Alexandria via LeMat-Bulk
Functional: PBE
Structure: relaxed

## Properties
- E_form (uncorrected): -382 meV per atom
- E_tot: -3.958 eV per atom
- SG: No. 6
- Total moment: 0.00 μB per cell

Cell: 4.9509 2.8164 5.8390 Å, 76.15 90.00 90.00°
Sites, in units of the cell vectors:
Si: 0.0000 0.3439 0.4332
Se: 0.5000 0.3923 0.3402
Li: 0.5000 0.6300 0.8709
Se: 0.0000 0.1337 0.8557


No. 9
Compound: GdMgHgRu
Source: Alexandria via LeMat-Bulk
Functional: PBE
Structure: relaxed

## Properties
- E_tot: -6.443 eV per atom
- SG: No. 216
- Total moment: 7.06 μB per cell

Cell: 4.8853 4.8853 4.8853 Å, 60.00 60.00 60.00°
Sites, in units of the cell vectors:
Hg: 0.0000 0.0000 0.0000
Mg: 0.2500 0.2500 0.2500
Ru: 0.5000 0.5000 0.5000
Gd: 0.7500 0.7500 0.7500


No. 10
Compound: Ba2AcBr
Source: Alexandria via LeMat-Bulk
Functional: PBE
Structure: relaxed

## Properties
- E_form (uncorrected): -649 meV per atom
- Energy relative to the lowest polymorph listed for this composition: 0.0 meV/atom
- E_tot: -3.056 eV per atom
- SG: No. 123
- Total moment: 0.00 μB per cell

Cell: 4.0547 4.0547 11.0572 Å, 90.00 90.00 90.00°
Sites, in units of the cell vectors:
Ba: 0.0000 0.0000 0.2139
Ba: 0.0000 0.0000 0.7861
Br: 0.5000 0.5000 0.0000
Ac: 0.5000 0.5000 0.5000


No. 11
Compound: Pu2Ga6CuPt
Source: Alexandria via LeMat-Bulk
Functional: PBE
Structure: relaxed

## Properties
- E_tot: -5.807 eV per atom
- SG: No. 225
- Total moment: 11.64 μB per cell

Cell: 6.6942 6.6942 6.6942 Å, 60.00 60.00 90.00°
Sites, in units of the cell vectors:
Pu: 0.2500 0.7500 0.5000
Ga: 0.7424 0.7424 0.5152
Pt: 0.0000 0.0000 0.0000
Ga: 0.7424 0.2576 0.0000
Cu: 0.5000 0.5000 0.0000
Ga: 0.7424 0.7424 0.0000
Ga: 0.2576 0.2576 0.0000
Ga: 0.2576 0.7424 0.0000
Ga: 0.2576 0.2576 0.4848
Pu: 0.7500 0.2500 0.5000


No. 12
Compound: PrNd2Au
Source: Alexandria via LeMat-Bulk
Functional: PBE
Structure: relaxed

## Properties
- Energy relative to the lowest polymorph listed for this composition: 165.1 meV/atom
- E_tot: -4.623 eV per atom
- SG: No. 123
- Total moment: 0.00 μB per cell

Cell: 3.7346 5.5735 5.5735 Å, 90.00 90.00 90.00°
Sites, in units of the cell vectors:
Nd: 0.0000 0.0000 0.5000
Pr: 0.5000 0.5000 0.5000
Nd: 0.0000 0.5000 0.0000
Au: 0.5000 0.0000 0.0000